NaInSiS4 | PBE | optimized geometry

**E_form (uncorrected)**: -767 meV per atom
**ρ**: 2859 kg/m³

Cell lengths 7.0793, 7.0793, 7.4301 Å; angles 90.00, 90.00, 113.40 degrees
Closest atoms and distances in Å follow each position.
Fractional positions:
S 0.7590 0.8072 0.7500  1 Si 2.16
Na 0.5000 0.5000 0.5000  6 S 2.89-2.94
Si 0.8624 0.1376 0.7500  4 S 2.14-2.16
S 0.7478 0.2522 0.5269  1 Si 2.14
In 0.1337 0.8663 0.7500  4 S 2.49-2.52
Si 0.1376 0.8624 0.2500  4 S 2.14-2.16
Na 0.5000 0.5000 0.0000  6 S 2.89-2.94
S 0.2522 0.7478 0.4731  1 Si 2.14
S 0.8072 0.7590 0.2500  1 Si 2.16
S 0.2522 0.7478 0.0269  1 Si 2.14
S 0.2410 0.1928 0.2500  1 Si 2.16
S 0.7478 0.2522 0.9731  1 Si 2.14
S 0.1928 0.2410 0.7500  1 Si 2.16
In 0.8663 0.1337 0.2500  4 S 2.49-2.52

NaInSi2S6 | PBE | optimized geometry

**E_form (uncorrected)**: -644 meV per atom
**ρ**: 2666 kg/m³

Cell lengths 6.5396, 8.8394, 8.8394 Å; angles 89.79, 76.22, 76.22 degrees
Closest atoms and distances in Å follow each position.
Fractional positions:
S 0.5216 0.5823 0.6841  2 Si 2.16-2.20
In 0.7500 0.7657 0.2343  4 S 2.46-2.60
Si 0.7129 0.2228 0.3729  4 S 2.11-2.20
Si 0.2129 0.3729 0.2228  4 S 2.11-2.20
S 0.3840 0.8660 0.4028  1 Si 2.14
S 0.1160 0.5972 0.1340  1 Si 2.14
S 0.1759 0.9582 0.8045  1 Si 2.11
S 0.6759 0.8045 0.9582  1 Si 2.11
S 0.3241 0.1955 0.0418  1 Si 2.11
S 0.4784 0.4177 0.3159  2 Si 2.16-2.20
Si 0.2871 0.7772 0.6271  4 S 2.11-2.20
S 0.0216 0.6841 0.5823  2 Si 2.16-2.20
In 0.2500 0.2343 0.7657  4 S 2.46-2.60
S 0.6160 0.1340 0.5972  1 Si 2.14
Na 0.7500 0.1113 0.8887  6 S 2.71-2.90
Na 0.2500 0.8887 0.1113  6 S 2.71-2.90
S 0.8840 0.4028 0.8660  1 Si 2.14
S 0.9784 0.3159 0.4177  2 Si 2.16-2.20
Si 0.7871 0.6271 0.7772  4 S 2.11-2.20
S 0.8241 0.0418 0.1955  1 Si 2.11

NaSm2InS5 | PBE | optimized geometry

**E_form (uncorrected)**: -1460 meV per atom
**ρ**: 4972 kg/m³

Cell lengths 3.9830, 8.6712, 11.8997 Å; angles 90.00, 90.00, 103.28 degrees
Closest atoms and distances in Å follow each position.
Fractional positions:
Sm 0.8587 0.7173 0.8025  5 S 2.77-3.07
In 0.5484 0.0969 0.9589  4 S 2.44-2.60
S 0.6788 0.3576 0.8425  1 In 2.60, 2 Na 2.86
S 0.3696 0.7391 0.0019  1 Na 2.68, 2 Sm 2.94
S 0.7119 0.4239 0.1762  3 Sm 2.77-2.86, 2 Na 2.82
In 0.4516 0.9031 0.4589  4 S 2.44-2.60
Sm 0.1186 0.2371 0.6828  8 S 2.86-3.11
Sm 0.1413 0.2827 0.3025  5 S 2.77-3.07
S 0.6304 0.2609 0.5019  1 Na 2.68, 2 Sm 2.94
Na 0.2106 0.4212 0.0086  6 S 2.68-2.91
S 0.3212 0.6424 0.3425  1 In 2.60, 2 Na 2.86
Na 0.7894 0.5788 0.5086  6 S 2.68-2.91
S 0.9540 0.9080 0.5801  2 In 2.46
S 0.5089 0.0178 0.2705  1 In 2.44
S 0.2881 0.5761 0.6762  3 Sm 2.77-2.86, 2 Na 2.82
S 0.0460 0.0920 0.0801  2 In 2.46
S 0.4911 0.9822 0.7705  1 In 2.44
Sm 0.8814 0.7629 0.1828  8 S 2.86-3.11